[1]
A relaxed RbSn4Cl8 crystal, computed with PBE-GGA.

CIF file:
```
data_RbSn4Cl8
_space_group_name_H-M_alt 'F -4 3 m'
_space_group_IT_number 216
_space_group_name_Hall 'F -4 2 3'
_cell_length_a 12.6332
_cell_length_b 12.6332
_cell_length_c 12.6332
_cell_angle_alpha 90.00
_cell_angle_beta 90.00
_cell_angle_gamma 90.00
loop_
_atom_site_label
_atom_site_type_symbol
_atom_site_fract_x
_atom_site_fract_y
_atom_site_fract_z
Rb1 Rb 0.0000 0.0000 0.0000
Sn1 Sn 0.1222 0.1222 0.6222
Cl1 Cl 0.1064 0.1064 0.3936
Cl2 Cl 0.1445 0.1445 0.8555
```

Values from the calculation:
The magnetization is 0.0 μB/f.u. The volume is 2016 Å³ per cell.

***

[2]
A relaxed RbSnCl3 crystal, computed with PBE-GGA.

CIF file:
```
data_RbSnCl3
_space_group_name_H-M_alt 'C m c e'
_space_group_IT_number 64
_space_group_name_Hall '-C 2ac 2'
_cell_length_a 14.5799
_cell_length_b 10.7461
_cell_length_c 9.7320
_cell_angle_alpha 90.00
_cell_angle_beta 90.00
_cell_angle_gamma 90.00
loop_
_atom_site_label
_atom_site_type_symbol
_atom_site_fract_x
_atom_site_fract_y
_atom_site_fract_z
Rb1 Rb 0.0000 0.2233 0.0813
Sn1 Sn 0.2500 0.0130 0.7500
Cl1 Cl 0.1381 0.1479 0.3446
Cl2 Cl 0.1464 0.0000 0.0000
```

Values from the calculation:
The magnetization is 0.0 μB/f.u. The volume is 1525 Å³ per cell.

***

[3]
A relaxed RbSnCl4 crystal, computed with PBE-GGA.

CIF file:
```
data_RbSnCl4
_space_group_name_H-M_alt 'C 1 2/c 1'
_space_group_IT_number 15
_cell_length_a 9.6931
_cell_length_b 14.8420
_cell_length_c 7.0448
_cell_angle_alpha 90.00
_cell_angle_beta 125.64
_cell_angle_gamma 90.00
loop_
_space_group_symop_operation_xyz
'x,y,z'
'-x,-y,-z'
'-x,y,-z+1/2'
'x,-y,z+1/2'
'x+1/2,y+1/2,z'
'-x+1/2,-y+1/2,-z'
'-x+1/2,y+1/2,-z+1/2'
'x+1/2,-y+1/2,z+1/2'
loop_
_atom_site_label
_atom_site_type_symbol
_atom_site_fract_x
_atom_site_fract_y
_atom_site_fract_z
Rb1 Rb 0.0000 0.1363 0.2500
Sn1 Sn 0.0000 0.4106 0.7500
Cl1 Cl 0.1584 0.2928 0.6927
Cl2 Cl 0.1949 0.4587 0.2037
```

Values from the calculation:
The magnetization is 0.0 μB/f.u. The volume is 824 Å³ per cell.

***

no.,raw formation energy (eV/atom),uncorrected energy (eV per atom)
1,-0.9876,-3.43
2,-1.3885,-3.49
3,-1.2382,-3.30